No. 1
# AuI, relaxed, DFT PBE
# Formation energy from raw total energies in eV/atom: -0.029
# DOS(E_F) in states/eV/atom: 0.000
# Energy in eV/atom: -2.443
# Magnetization in μB per formula unit: 0.00
# Volume in Å³/cell: 747.7
data_AuI
_cell_length_a 12.485
_cell_length_b 12.485
_cell_length_c 4.796
_cell_angle_alpha 90.00
_cell_angle_beta 90.00
_cell_angle_gamma 90.00
_space_group_name_H-M_alt 'I 4/m'
_space_group_IT_number 87
_space_group_name_Hall '-I 4'
loop_
_atom_site_label
_atom_site_type_symbol
_atom_site_fract_x
_atom_site_fract_y
_atom_site_fract_z
Au1 Au 0.135 0.159 0.000
I1 I 0.024 0.708 0.000

=====

No. 2
# Na2PbSe2, relaxed, DFT PBE
# Formation energy from raw total energies in eV/atom: -0.688
# DOS(E_F) in states/eV/atom: 0.306
# Energy in eV/atom: -3.351
# Magnetization in μB per formula unit: 0.00
# Volume in Å³/cell: 251.9
# Energy above the lowest structure with this stoichiometry in eV per formula unit: 0.49
data_Na2PbSe2
_cell_length_a 8.447
_cell_length_b 8.447
_cell_length_c 3.531
_cell_angle_alpha 90.00
_cell_angle_beta 90.00
_cell_angle_gamma 90.00
_space_group_name_H-M_alt 'P 4/m b m'
_space_group_IT_number 127
_space_group_name_Hall '-P 4 2ab'
loop_
_atom_site_label
_atom_site_type_symbol
_atom_site_fract_x
_atom_site_fract_y
_atom_site_fract_z
Na1 Na 0.129 0.371 0.000
Pb1 Pb 0.000 0.000 0.500
Se1 Se 0.172 0.672 0.500

=====

No. 3
# RbZnTc2O8, relaxed, DFT PBE
# Formation energy from raw total energies in eV/atom: -1.484
# DOS(E_F) in states/eV/atom: 0.451
# Energy in eV/atom: -6.704
# Magnetization in μB per formula unit: 1.01
# Volume in Å³/cell: 443.4
data_RbZnTc2O8
_cell_length_a 9.167
_cell_length_b 5.850
_cell_length_c 8.297
_cell_angle_alpha 90.00
_cell_angle_beta 94.77
_cell_angle_gamma 90.00
_space_group_name_H-M_alt 'C 1 2/m 1'
_space_group_IT_number 12
_space_group_name_Hall '-C 2y'
loop_
_atom_site_label
_atom_site_type_symbol
_atom_site_fract_x
_atom_site_fract_y
_atom_site_fract_z
Rb1 Rb 0.000 0.000 0.000
Zn1 Zn 0.000 0.000 0.500
Tc1 Tc 0.127 0.500 0.297
O1 O 0.020 0.251 0.319
O2 O 0.191 0.500 0.104
O3 O 0.225 0.000 0.554

=====

No. 4
# BaRuW2, relaxed, DFT PBE
# DOS(E_F) in states/eV/atom: 1.392
# Energy in eV/atom: -7.718
# Magnetization in μB per formula unit: 0.00
# Volume in Å³/cell: 160.8
# Energy above the lowest structure with this stoichiometry in eV per formula unit: 3.37
# Energy of formation from the pure elements in eV per atom: 1.56
data_BaRuW2
_cell_length_a 3.933
_cell_length_b 3.933
_cell_length_c 10.395
_cell_angle_alpha 90.00
_cell_angle_beta 90.00
_cell_angle_gamma 90.00
_space_group_name_H-M_alt 'I 4/m m m'
_space_group_IT_number 139
_space_group_name_Hall '-I 4 2'
loop_
_atom_site_label
_atom_site_type_symbol
_atom_site_fract_x
_atom_site_fract_y
_atom_site_fract_z
Ba1 Ba 0.000 0.000 0.000
Ru1 Ru 0.000 0.000 0.500
W1 W 0.000 0.500 0.250

=====

No. 5
# YSc2Au, relaxed, DFT PBE
# DOS(E_F) in states/eV/atom: 1.352
# Energy in eV/atom: -5.839
# Magnetization in μB per formula unit: 0.46
# Volume in Å³/cell: 306.6
# Energy above the lowest structure with this stoichiometry in eV per formula unit: 0.73
# Energy of formation from the pure elements in eV per atom: -0.24
data_YSc2Au
_cell_length_a 3.5448
_cell_length_b 3.5448
_cell_length_c 28.1711
_cell_angle_alpha 90.00
_cell_angle_beta 90.00
_cell_angle_gamma 120.00
_space_group_name_H-M_alt 'R 3 m'
_space_group_IT_number 160
_space_group_name_Hall 'R 3 -2"'
loop_
_atom_site_label
_atom_site_type_symbol
_atom_site_fract_x
_atom_site_fract_y
_atom_site_fract_z
Y1 Y 0.0000 0.0000 0.0000
Sc1 Sc 0.0000 0.0000 0.5674
Sc2 Sc 0.0000 0.0000 0.7626
Au1 Au 0.0000 0.0000 0.1643

=====

No. 6
# Pm5Dy2Tl4, relaxed, DFT PBE
# DOS(E_F) in states/eV/atom: 1.122
# Energy in eV/atom: -3.868
# Magnetization in μB per formula unit: 0.00
# Volume in Å³/cell: 700.4
# Energy of formation from the pure elements in eV per atom: -0.01
data_Pm5Dy2Tl4
_cell_length_a 23.481
_cell_length_b 3.626
_cell_length_c 8.429
_cell_angle_alpha 90.00
_cell_angle_beta 102.62
_cell_angle_gamma 90.00
_space_group_name_H-M_alt 'C 1 2/m 1'
_space_group_IT_number 12
_space_group_name_Hall '-C 2y'
loop_
_atom_site_label
_atom_site_type_symbol
_atom_site_fract_x
_atom_site_fract_y
_atom_site_fract_z
Pm1 Pm 0.000 0.000 0.000
Pm2 Pm 0.125 0.500 0.987
Pm3 Pm 0.177 0.500 0.454
Dy1 Dy 0.229 0.000 0.819
Tl1 Tl 0.031 0.500 0.330
Tl2 Tl 0.089 0.000 0.650

=====

No. 7
# TaBTeN2, relaxed, DFT PBE
# Formation energy from raw total energies in eV/atom: 1.767
# DOS(E_F) in states/eV/atom: 0.392
# Energy in eV/atom: -5.897
# Magnetization in μB per formula unit: 0.00
# Volume in Å³/cell: 64.5
# Energy above the lowest structure with this stoichiometry in eV per formula unit: 4.19
data_TaBTeN2
_cell_length_a 3.809
_cell_length_b 3.809
_cell_length_c 4.445
_cell_angle_alpha 90.00
_cell_angle_beta 90.00
_cell_angle_gamma 90.00
_space_group_name_H-M_alt 'P 4/m m m'
_space_group_IT_number 123
_space_group_name_Hall '-P 4 2'
loop_
_atom_site_label
_atom_site_type_symbol
_atom_site_fract_x
_atom_site_fract_y
_atom_site_fract_z
Ta1 Ta 0.000 0.000 0.000
B1 B 0.500 0.500 0.500
Te1 Te 0.500 0.500 0.000
N1 N 0.000 0.500 0.500

=====

No. 8
# PmCdCo, relaxed, DFT PBE
# DOS(E_F) in states/eV/atom: 0.918
# Energy in eV/atom: -4.420
# Magnetization in μB per formula unit: 0.36
# Volume in Å³/cell: 430.8
# Energy above the lowest structure with this stoichiometry in eV per formula unit: 0.17
# Energy of formation from the pure elements in eV per atom: -0.16
data_PmCdCo
_cell_length_a 3.9247
_cell_length_b 3.9247
_cell_length_c 32.2955
_cell_angle_alpha 90.00
_cell_angle_beta 90.00
_cell_angle_gamma 120.00
_space_group_name_H-M_alt 'R 3 m'
_space_group_IT_number 160
_space_group_name_Hall 'R 3 -2"'
loop_
_atom_site_label
_atom_site_type_symbol
_atom_site_fract_x
_atom_site_fract_y
_atom_site_fract_z
Pm1 Pm 0.0000 0.0000 0.0000
Pm2 Pm 0.0000 0.0000 0.1175
Cd1 Cd 0.0000 0.0000 0.5892
Cd2 Cd 0.0000 0.0000 0.8611
Co1 Co 0.0000 0.0000 0.3920
Co2 Co 0.0000 0.0000 0.7254

=====

Please write out number 3 again, unchanged.
# RbZnTc2O8, relaxed, DFT PBE
# Formation energy from raw total energies in eV/atom: -1.484
# DOS(E_F) in states/eV/atom: 0.451
# Energy in eV/atom: -6.704
# Magnetization in μB per formula unit: 1.01
# Volume in Å³/cell: 443.4
data_RbZnTc2O8
_cell_length_a 9.167
_cell_length_b 5.850
_cell_length_c 8.297
_cell_angle_alpha 90.00
_cell_angle_beta 94.77
_cell_angle_gamma 90.00
_space_group_name_H-M_alt 'C 1 2/m 1'
_space_group_IT_number 12
_space_group_name_Hall '-C 2y'
loop_
_atom_site_label
_atom_site_type_symbol
_atom_site_fract_x
_atom_site_fract_y
_atom_site_fract_z
Rb1 Rb 0.000 0.000 0.000
Zn1 Zn 0.000 0.000 0.500
Tc1 Tc 0.127 0.500 0.297
O1 O 0.020 0.251 0.319
O2 O 0.191 0.500 0.104
O3 O 0.225 0.000 0.554

=====

- Among the records above, which one has the highest magnetization?
  RbZnTc2O8

=====

- Which of these has the lowest energy?
  BaRuW2